(1)
The following is a DFT calculation (PBE) of a relaxed CdFe2CBr crystal.

Unit cell a=3.798 b=3.798 c=6.502 alpha=90.00 beta=90.00 gamma=90.00
Space group P4/mmm (No. 123)
Unique sites:
Cd1 0.000 0.000 0.000
Fe1 0.000 0.500 0.500
C1 0.500 0.500 0.500
Br1 0.500 0.500 0.000

Computed properties:
The value obtained for the formation energy without anion corrections is 0.657 eV/atom.

(2)
The following is a DFT calculation (PBE) of a relaxed CdPH6CBr3 crystal.

Unit cell a=7.035 b=8.595 c=15.513 alpha=93.49 beta=93.39 gamma=93.44
Space group P1 (No. 1)
Unique sites:
Cd1 0.000 0.000 0.000
Cd2 0.025 0.500 0.501
Cd3 0.499 0.996 0.001
Cd4 0.528 0.499 0.501
P1 0.272 0.557 0.779
P2 0.290 0.055 0.278
P3 0.734 0.553 0.112
P4 0.750 0.054 0.611
H1 0.073 0.410 0.869
H2 0.122 0.015 0.226
H3 0.142 0.669 0.759
H4 0.173 0.974 0.412
H5 0.225 0.558 0.931
H6 0.271 0.445 0.708
H7 0.285 0.820 0.355
H8 0.294 0.217 0.302
H9 0.320 0.379 0.890
H10 0.428 0.978 0.412
H11 0.448 0.026 0.230
H12 0.455 0.635 0.790
H13 0.571 0.639 0.104
H14 0.587 0.140 0.597
H15 0.616 0.383 0.215
H16 0.620 0.886 0.712
H17 0.728 0.438 0.042
H18 0.742 0.058 0.766
H19 0.752 0.550 0.267
H20 0.753 0.937 0.543
H21 0.871 0.393 0.217
H22 0.876 0.903 0.723
H23 0.898 0.654 0.106
H24 0.914 0.156 0.608
C1 0.217 0.467 0.877
C2 0.294 0.945 0.373
C3 0.745 0.461 0.213
C4 0.747 0.967 0.713
Br1 0.229 0.981 0.861
Br2 0.244 0.779 0.077
Br3 0.256 0.493 0.361
Br4 0.265 0.273 0.570
Br5 0.280 0.223 0.081
Br6 0.312 0.721 0.583
Br7 0.722 0.762 0.931
Br8 0.744 0.264 0.429
Br9 0.753 0.213 0.931
Br10 0.772 0.003 0.146
Br11 0.786 0.715 0.432
Br12 0.800 0.501 0.646

Computed properties:
The calculation puts the energy at -181.85 eV per cell.

Number 1: DOS at the Fermi energy 3.03 states/eV/cell. Number 2: DOS at the Fermi energy 0.00 states/eV/cell.